Entry 1:
Mn3Co4Si (PBE, relaxed); total moment = 12.992 μB per cell; mass density = 7808 kg/m³; formation energy (no corrections) = -0.215 eV/atom; E_tot = -7.884 eV/atom; density of states at the Fermi level = 5.04 states/eV/f.u.
1.0
-1.606 -0.126 3.667
-3.343 -1.600 -1.519
4.621 -4.343 -0.313
Si Mn Co
1 3 4
Direct
0.500 0.000 0.000
0.000 0.500 0.000
0.748 0.248 0.497
0.252 0.752 0.503
0.377 0.377 0.754
0.623 0.623 0.246
0.123 0.123 0.246
0.877 0.877 0.754



Entry 2:
MnCoSi (PBE, relaxed); energy above the most stable polymorph in this dataset = 42 meV per atom; total moment = 5.588 μB per cell; mass density = 6909 kg/m³; formation energy (no corrections) = -0.409 eV/atom; E_tot = -7.642 eV/atom; density of states at the Fermi level = 2.77 states/eV/f.u.
1.0
3.971 0.000 0.000
-1.986 3.439 0.000
0.000 0.000 4.996
Co Mn Si
2 2 2
Direct
0.667 0.333 0.750
0.333 0.667 0.250
0.000 0.000 0.000
0.000 0.000 0.500
0.667 0.333 0.250
0.333 0.667 0.750



Entry 3:
MnCoSi (PBE, relaxed); energy above the most stable polymorph in this dataset = 184 meV per atom; total moment = 11.766 μB per cell; mass density = 6937 kg/m³; formation energy (no corrections) = -0.267 eV/atom; E_tot = -7.499 eV/atom; density of states at the Fermi level = 3.19 states/eV/f.u.
1.0
3.454 0.000 0.000
0.000 5.254 0.000
0.000 0.000 7.489
Si Mn Co
4 4 4
Direct
0.250 0.117 0.747
0.750 0.383 0.247
0.750 0.883 0.253
0.250 0.617 0.753
0.250 0.632 0.411
0.750 0.868 0.911
0.750 0.368 0.589
0.250 0.132 0.089
0.250 0.130 0.414
0.750 0.370 0.914
0.750 0.870 0.586
0.250 0.630 0.086



Entry 4:
Mn3CoSi (PBE, relaxed); total moment = 10.627 μB per cell; mass density = 5038 kg/m³; formation energy (no corrections) = 0.940 eV/atom; E_tot = -7.068 eV/atom; density of states at the Fermi level = 8.83 states/eV/f.u.
1.0
4.362 0.000 0.000
0.000 4.362 0.000
0.000 0.000 4.362
Si Mn Co
1 3 1
Direct
0.500 0.500 0.500
0.000 0.500 0.000
0.000 0.000 0.500
0.500 0.000 0.000
0.000 0.000 0.000



Entry 5:
MnCoSi3 (PBE, relaxed); total moment = 4.091 μB per cell; mass density = 4001 kg/m³; formation energy (no corrections) = 0.512 eV/atom; E_tot = -5.997 eV/atom; density of states at the Fermi level = 4.26 states/eV/f.u.
1.0
4.348 0.000 0.000
0.000 4.348 0.000
0.000 0.000 4.348
Si Mn Co
3 1 1
Direct
0.000 0.500 0.000
0.000 0.000 0.500
0.500 0.000 0.000
0.500 0.500 0.500
0.000 0.000 0.000



Entry 6:
Mn2Co2Si (PBE, relaxed); total moment = 12.656 μB per cell; mass density = 7066 kg/m³; formation energy (no corrections) = 0.107 eV/atom; E_tot = -7.488 eV/atom; density of states at the Fermi level = 4.95 states/eV/f.u.
1.0
6.423 0.000 0.000
0.000 6.423 0.000
0.000 0.000 2.915
Si Mn Co
2 4 4
Direct
0.000 0.000 0.000
0.500 0.500 0.000
0.164 0.664 0.500
0.664 0.836 0.500
0.836 0.336 0.500
0.336 0.164 0.500
0.365 0.865 0.000
0.865 0.635 0.000
0.635 0.135 0.000
0.135 0.365 0.000



Entry 7:
MnCoSi (PBE, relaxed); energy above the most stable polymorph in this dataset = 138 meV per atom; total moment = 3.101 μB per cell; mass density = 6766 kg/m³; formation energy (no corrections) = -0.313 eV/atom; E_tot = -7.546 eV/atom; density of states at the Fermi level = 2.45 states/eV/f.u.
1.0
-3.791 -0.877 -0.192
2.567 -2.697 1.145
-0.307 0.776 2.516
Co Mn Si
1 1 1
Direct
0.000 0.000 0.833
0.667 0.333 0.333
0.333 0.667 0.833



Entry 8:
MnCoSi (PBE, relaxed); energy above the most stable polymorph in this dataset = 410 meV per atom; total moment = 5.746 μB per cell; mass density = 6794 kg/m³; formation energy (no corrections) = -0.041 eV/atom; E_tot = -7.273 eV/atom; density of states at the Fermi level = 2.80 states/eV/f.u.
1.0
-1.765 3.407 1.066
-0.406 -3.248 2.268
4.117 1.314 2.618
Mn Co Si
2 2 2
Direct
0.667 0.333 0.750
0.333 0.667 0.250
0.667 0.333 0.250
0.333 0.667 0.750
0.000 0.000 0.000
0.000 0.000 0.500



Entry 9:
SmMnCoSi2 (PBE, relaxed); total moment = 1.965 μB per cell; mass density = 6755 kg/m³; formation energy (no corrections) = -0.659 eV/atom; E_tot = -7.028 eV/atom; density of states at the Fermi level = 4.98 states/eV/f.u.
1.0
3.964 0.000 0.000
0.000 3.964 0.000
-1.982 -1.982 5.014
Sm Mn Co Si
1 1 1 2
Direct
0.000 0.000 0.000
0.250 0.750 0.500
0.750 0.250 0.500
0.627 0.627 0.255
0.373 0.373 0.745



Entry 10:
Tb2MnCo5Si2 (PBE, relaxed); total moment = 10.422 μB per cell; mass density = 8284 kg/m³; formation energy (no corrections) = -0.328 eV/atom; E_tot = -6.809 eV/atom; density of states at the Fermi level = 2.76 states/eV/f.u.
1.0
3.233 0.000 0.000
0.000 9.472 0.000
0.000 0.000 9.472
Tb Mn Co Si
4 2 10 4
Direct
0.000 0.677 0.177
0.000 0.323 0.823
0.000 0.177 0.323
0.000 0.823 0.677
0.000 0.000 0.000
0.000 0.500 0.500
0.500 0.213 0.064
0.500 0.787 0.936
0.500 0.064 0.787
0.500 0.713 0.436
0.500 0.936 0.213
0.500 0.287 0.564
0.500 0.564 0.713
0.500 0.436 0.287
0.500 0.500 0.000
0.500 0.000 0.500
0.000 0.121 0.621
0.000 0.879 0.379
0.000 0.621 0.879
0.000 0.379 0.121



Entry 11:
TbMnCoSi2 (PBE, relaxed); total moment = 2.046 μB per cell; mass density = 7122 kg/m³; formation energy (no corrections) = -0.686 eV/atom; E_tot = -7.037 eV/atom; density of states at the Fermi level = 5.08 states/eV/f.u.
1.0
-1.079 0.979 3.639
-2.587 -2.945 0.026
5.322 -2.065 0.023
Tb Mn Co Si
1 1 1 2
Direct
0.000 0.000 0.000
0.750 0.250 0.500
0.250 0.750 0.500
0.625 0.625 0.249
0.375 0.375 0.751



Entry 12:
Th2MnCo4Si3 (PBE, relaxed); total moment = 0.994 μB per cell; mass density = 9041 kg/m³; formation energy (no corrections) = -0.643 eV/atom; E_tot = -7.513 eV/atom; density of states at the Fermi level = 9.19 states/eV/f.u.
1.0
-2.877 2.698 0.603
-2.760 -2.851 -0.410
0.374 -1.730 9.519
Th Mn Co Si
2 1 4 3
Direct
0.500 0.000 0.251
0.000 0.500 0.749
0.500 0.500 0.500
0.500 0.500 0.000
0.000 0.000 0.000
0.500 0.000 0.626
0.000 0.500 0.374
0.000 0.000 0.500
0.500 0.000 0.875
0.000 0.500 0.125